# Cs2TlAu

A relaxed Cs2TlAu crystal (GGA-PBEsol, Alexandria).

```
Cs2TlAu
1.0
-0.8860 -2.7769 4.4432
2.7140 -9.0176 -1.9169
8.0987 0.5613 5.1433
Cs Tl Au
4 2 2
direct
0.2937 0.8313 0.3313
0.4563 0.1687 0.6687
0.3750 0.3313 0.1687
0.8750 0.6687 0.8313
0.7500 0.5000 0.5000
0.0000 0.0000 0.0000
0.2500 0.5000 0.5000
0.5000 0.0000 0.0000
```

## Properties
- size of the total moment (μB/f.u.) = 0.0
- space group = I-42d, No. 122
- Fermi-level density of states (states/eV/atom) = 0.69
- E_tot (eV per formula unit) = -8.6
- volume (Å³/cell) = 453.3



# PdSe2I

A relaxed PdSe2I crystal (GGA-PBEsol, Alexandria).

```
PdSe2I
1.0
3.8804 0.0000 0.0000
1.9402 3.3606 0.0000
1.9402 1.1202 7.9333
I Se Pd
1 2 1
direct
0.0000 0.0000 0.0000
0.8838 0.8838 0.3485
0.1162 0.1162 0.6515
0.5000 0.5000 0.5000
```

## Properties
- size of the total moment (μB/f.u.) = 0.0
- raw formation energy (eV per formula unit) = -0.83
- space group = R-3m, No. 166
- Fermi-level density of states (states/eV/atom) = 0.43
- E_tot (eV per formula unit) = -16.3
- volume (Å³/cell) = 103.5



# LiYSb2

A relaxed LiYSb2 crystal (GGA-PBEsol, Alexandria).

```
LiYSb2
1.0
4.1974 0.0000 0.0000
0.0000 4.4425 -0.0445
-2.0987 -1.7592 5.2316
Y Sb Li
1 2 1
direct
0.4894 0.4356 0.9787
0.0041 0.9374 0.0082
0.7623 0.3462 0.5246
0.2443 0.7808 0.4885
```

## Properties
- size of the total moment (μB/f.u.) = 0.0
- distance to the lowest polymorph of the same formula (meV/atom) = 0
- raw formation energy (eV per formula unit) = -2.86
- space group = Cm, No. 8
- Fermi-level density of states (states/eV/atom) = 0.29
- E_tot (eV per formula unit) = -20.8
- volume (Å³/cell) = 97.2



# BaScCO2

A relaxed BaScCO2 crystal (GGA-PBEsol, Alexandria).

```
BaScCO2
1.0
-0.3076 -3.9584 1.3294
2.8406 -1.1753 -2.8425
3.2044 0.7257 2.9022
Sc C Ba O
1 1 1 2
direct
0.0000 0.0000 0.0000
0.0000 0.0000 0.5000
0.5000 0.5000 0.5000
0.0000 0.5000 0.0000
0.5000 0.0000 0.0000
```

## Properties
- size of the total moment (μB/f.u.) = 2.1
- raw formation energy (eV per formula unit) = -6.45
- space group = P4/mmm, No. 123
- Fermi-level density of states (states/eV/atom) = 0.61
- E_tot (eV per formula unit) = -35.3
- volume (Å³/cell) = 76.8



# DySe2

A relaxed DySe2 crystal (GGA-PBEsol, Alexandria).

```
DySe2
1.0
4.0091 0.0000 0.0000
0.0000 4.0091 0.0000
0.0000 0.0000 8.1932
Se Dy
4 2
direct
0.5000 0.5000 0.0000
0.0000 0.0000 0.0000
0.5000 0.0000 0.3694
0.0000 0.5000 0.6306
0.0000 0.5000 0.2725
0.5000 0.0000 0.7275
```

## Properties
- size of the total moment (μB/f.u.) = 0.0
- raw formation energy (eV per formula unit) = -4.89
- space group = P4/nmm, No. 129
- Fermi-level density of states (states/eV/atom) = 0.11
- E_tot (eV per formula unit) = -17.6
- volume (Å³/cell) = 131.7



# BaSr2Mg

A relaxed BaSr2Mg crystal (GGA-PBEsol, Alexandria).

```
BaSr2Mg
1.0
4.3108 0.0000 0.0000
0.0000 6.4665 0.0000
-2.1554 -3.2332 6.6103
Sr Mg Ba
2 1 1
direct
0.7125 0.7125 0.4249
0.2875 0.2875 0.5751
0.0000 0.5000 0.0000
0.5000 0.0000 0.0000
```

## Properties
- size of the total moment (μB/f.u.) = 0.0
- space group = Immm, No. 71
- Fermi-level density of states (states/eV/atom) = 1.15
- E_tot (eV per formula unit) = -7.5
- volume (Å³/cell) = 184.3



# InReH2

A relaxed InReH2 crystal (GGA-PBEsol, Alexandria).

```
InReH2
1.0
3.9839 0.0000 0.0000
0.0000 3.9839 0.0000
-1.9920 -1.9920 5.5469
Re H In
2 4 2
direct
0.2500 0.7500 0.5000
0.0000 0.0000 0.0000
0.2387 0.8750 0.2500
0.0113 0.3750 0.2500
0.1250 0.9887 0.7500
0.6250 0.7613 0.7500
0.7500 0.2500 0.5000
0.5000 0.5000 0.0000
```

## Properties
- size of the total moment (μB/f.u.) = 0.6
- space group = I-42d, No. 122
- Fermi-level density of states (states/eV/atom) = 0.54
- E_tot (eV per formula unit) = -20.5
- volume (Å³/cell) = 88.0



# CrSnF3

A relaxed CrSnF3 crystal (GGA-PBEsol, Alexandria).

```
CrSnF3
1.0
4.5237 0.0000 0.0000
0.0000 4.5237 0.0000
0.0000 0.0000 4.5237
Cr Sn F
1 1 3
direct
0.5000 0.5000 0.5000
0.0000 0.0000 0.0000
0.0000 0.5000 0.0000
0.0000 0.0000 0.5000
0.5000 0.0000 0.0000
```

## Properties
- size of the total moment (μB/f.u.) = 5.1
- raw formation energy (eV per formula unit) = -6.01
- space group = Pm-3m, No. 221
- Fermi-level density of states (states/eV/atom) = 0.71
- E_tot (eV per formula unit) = -26.3
- volume (Å³/cell) = 92.6



# Li2BeIr

A relaxed Li2BeIr crystal (GGA-PBEsol, Alexandria).

```
Li2BeIr
1.0
-0.5277 1.0483 -2.6644
-0.8509 -3.3673 -1.1564
-4.0184 0.6538 1.0531
Be Ir Li
1 1 2
direct
0.5000 0.0000 0.5000
0.0000 0.5000 0.5000
0.0000 0.0000 0.0000
0.5000 0.5000 0.0000
```

## Properties
- size of the total moment (μB/f.u.) = 0.0
- space group = Pmmm, No. 47
- Fermi-level density of states (states/eV/atom) = 0.27
- E_tot (eV per formula unit) = -18.6
- volume (Å³/cell) = 44.8



# SrCaRu2

A relaxed SrCaRu2 crystal (GGA-PBEsol, Alexandria).

```
SrCaRu2
1.0
-3.2208 2.0864 -1.8587
-2.7564 -2.8374 1.5914
-0.4747 2.4903 3.6179
Ru Ca Sr
2 1 1
direct
0.0000 0.5000 0.0000
0.5000 0.0000 0.0000
0.0000 0.0000 0.5000
0.5000 0.5000 0.5000
```

## Properties
- size of the total moment (μB/f.u.) = 1.7
- distance to the lowest polymorph of the same formula (meV/atom) = 442
- space group = P4/mmm, No. 123
- Fermi-level density of states (states/eV/atom) = 1.12
- E_tot (eV per formula unit) = -21.0
- volume (Å³/cell) = 80.3



# K3NaP2O6F2

A relaxed K3NaP2O6F2 crystal (GGA-PBEsol, Alexandria).

```
K3NaP2O6F2
1.0
5.7374 0.0000 0.0000
-2.8687 4.9687 0.0000
0.0000 0.0000 7.3626
K Na P O F
3 1 2 6 2
direct
0.6667 0.3333 0.1689
0.0000 0.0000 0.5000
0.3333 0.6667 0.8311
0.0000 0.0000 0.0000
0.3333 0.6667 0.2551
0.6667 0.3333 0.7449
0.1849 0.8151 0.2062
0.1849 0.3698 0.2062
0.8151 0.6302 0.7938
0.8151 0.1849 0.7938
0.3698 0.1849 0.7938
0.6302 0.8151 0.2062
0.3333 0.6667 0.4782
0.6667 0.3333 0.5218
```

## Properties
- size of the total moment (μB/f.u.) = 0.0
- raw formation energy (eV per formula unit) = -33.87
- space group = P-3m1, No. 164
- Fermi-level density of states (states/eV/atom) = 0.00
- E_tot (eV per formula unit) = -85.6
- volume (Å³/cell) = 209.9



# Be2PPb

A relaxed Be2PPb crystal (GGA-PBEsol, Alexandria).

```
Be2PPb
1.0
-2.1693 1.0087 -2.3522
1.5147 -1.4743 -4.4217
-2.7423 -3.7808 -1.4850
Pb P Be
1 1 2
direct
0.0000 0.5000 0.5000
0.5000 0.0000 0.0000
0.1775 0.8225 0.8225
0.8225 0.1775 0.1775
```

## Properties
- size of the total moment (μB/f.u.) = 0.0
- distance to the lowest polymorph of the same formula (meV/atom) = 0
- space group = Immm, No. 71
- Fermi-level density of states (states/eV/atom) = 0.42
- E_tot (eV per formula unit) = -15.9
- volume (Å³/cell) = 69.0



# LiReBr2

A relaxed LiReBr2 crystal (GGA-PBEsol, Alexandria).

```
LiReBr2
1.0
-2.7653 0.0653 1.6700
0.0584 -2.9686 -2.9130
2.6542 -2.6674 4.4992
Br Li Re
2 1 1
direct
0.7518 0.5037 0.7717
0.2482 0.4963 0.2283
0.0000 0.0000 0.5000
0.5000 0.0000 0.0000
```

## Properties
- size of the total moment (μB/f.u.) = 0.0
- distance to the lowest polymorph of the same formula (meV/atom) = 60
- raw formation energy (eV per formula unit) = 1.26
- space group = C2/m, No. 12
- Fermi-level density of states (states/eV/atom) = 0.50
- E_tot (eV per formula unit) = -17.8
- volume (Å³/cell) = 70.8